No. 1
Computed, not measured: an optimized crystal structure of BaU2O8 at the PBE level of DFT.

Calculated values
crystal system	orthorhombic
ΔE_f (raw)	-2.753	eV/atom
calculated total energy	-94.4	eV for the cell shown
space-group type	No. 65
distance to the lowest polymorph of the same formula	0.0	meV per atom

Unit cell a=6.5680 b=6.5680 c=4.1032 alpha=90.00 beta=90.00 gamma=119.84
Last column: nearest neighbours and their distance in Å.
Atoms (fractional coordinates):
Ba (0.0000, 0.0000, 0.0000)  10 O 2.93-3.12
U (0.3170, 0.6830, 0.5000)  4 O 2.02-2.11
U (0.6830, 0.3170, 0.5000)  4 O 2.02-2.11
O (0.0589, 0.3430, 0.5000)  1 U 2.02
O (0.2744, 0.7256, 0.0000)  2 U 2.11
O (0.3430, 0.0589, 0.5000)  1 U 2.02
O (0.5000, 0.5000, 0.1746)  1 O 1.43
O (0.5000, 0.5000, 0.8254)  1 O 1.43
O (0.6570, 0.9411, 0.5000)  1 U 2.02
O (0.7256, 0.2744, 0.0000)  2 U 2.11
O (0.9411, 0.6570, 0.5000)  1 U 2.02



No. 2
Computed, not measured: an optimized crystal structure of Ba2UO5 at the PBE level of DFT.

Calculated values
crystal system	tetragonal
ΔE_f (raw)	-2.955	eV/atom
calculated total energy	-63.6	eV for the cell shown
space-group type	No. 123
distance to the lowest polymorph of the same formula	171.7	meV per atom

Unit cell a=6.2171 b=6.2171 c=4.2300 alpha=90.00 beta=90.00 gamma=90.00
Last column: nearest neighbours and their distance in Å.
Atoms (fractional coordinates):
Ba (0.0000, 0.5000, 0.0000)  10 O 3.05-3.11
Ba (0.5000, 0.0000, 0.0000)  10 O 3.05-3.11
U (0.0000, 0.0000, 0.5000)  6 O 2.04-2.11
O (0.0000, 0.0000, 0.0000)  2 U 2.11
O (0.2325, 0.2325, 0.5000)  1 U 2.04
O (0.2325, 0.7675, 0.5000)  1 U 2.04
O (0.7675, 0.2325, 0.5000)  1 U 2.04
O (0.7675, 0.7675, 0.5000)  1 U 2.04



No. 3
Computed, not measured: an optimized crystal structure of Ba3U5O12 at the PBE level of DFT.

Calculated values
crystal system	cubic
ΔE_f (raw)	-2.928	eV/atom
calculated total energy	-721.1	eV for the cell shown
space-group type	No. 230

Unit cell a=12.4836 b=12.4836 c=12.4836 alpha=109.47 beta=109.47 gamma=109.47
Last column: nearest neighbours and their distance in Å.
Atoms (fractional coordinates):
Ba (0.1250, 0.2500, 0.3750)  8 O 2.79-2.95
Ba (0.1250, 0.3750, 0.7500)  8 O 2.79-2.95
Ba (0.2500, 0.3750, 0.1250)  8 O 2.79-2.95
Ba (0.2500, 0.8750, 0.6250)  8 O 2.79-2.95
Ba (0.3750, 0.1250, 0.2500)  8 O 2.79-2.95
Ba (0.3750, 0.7500, 0.1250)  8 O 2.79-2.95
Ba (0.6250, 0.2500, 0.8750)  8 O 2.79-2.95
Ba (0.6250, 0.8750, 0.7500)  8 O 2.79-2.95
Ba (0.7500, 0.1250, 0.3750)  8 O 2.79-2.95
Ba (0.7500, 0.6250, 0.8750)  8 O 2.79-2.95
Ba (0.8750, 0.6250, 0.2500)  8 O 2.79-2.95
Ba (0.8750, 0.7500, 0.6250)  8 O 2.79-2.95
U (0.0000, 0.0000, 0.0000)  6 O 2.24
U (0.0000, 0.0000, 0.5000)  6 O 2.24
U (0.0000, 0.5000, 0.0000)  6 O 2.24
U (0.0000, 0.5000, 0.5000)  6 O 2.24
U (0.1250, 0.7500, 0.8750)  4 O 2.17
U (0.1250, 0.8750, 0.2500)  4 O 2.17
U (0.2500, 0.1250, 0.8750)  4 O 2.17
U (0.2500, 0.6250, 0.3750)  4 O 2.17
U (0.3750, 0.2500, 0.6250)  4 O 2.17
U (0.3750, 0.6250, 0.7500)  4 O 2.17
U (0.5000, 0.0000, 0.0000)  6 O 2.24
U (0.5000, 0.0000, 0.5000)  6 O 2.24
U (0.5000, 0.5000, 0.0000)  6 O 2.24
U (0.5000, 0.5000, 0.5000)  6 O 2.24
U (0.6250, 0.3750, 0.2500)  4 O 2.17
U (0.6250, 0.7500, 0.3750)  4 O 2.17
U (0.7500, 0.3750, 0.6250)  4 O 2.17
U (0.7500, 0.8750, 0.1250)  4 O 2.17
U (0.8750, 0.1250, 0.7500)  4 O 2.17
U (0.8750, 0.2500, 0.1250)  4 O 2.17
O (0.0192, 0.1931, 0.1148)  2 U 2.17-2.24
O (0.0192, 0.3261, 0.9044)  2 U 2.17-2.24
O (0.0783, 0.6931, 0.6739)  2 U 2.17-2.24
O (0.0783, 0.8852, 0.4044)  2 U 2.17-2.24
O (0.0956, 0.6148, 0.4217)  2 U 2.17-2.24
O (0.0956, 0.9808, 0.6739)  2 U 2.17-2.24
O (0.1148, 0.0192, 0.1931)  2 U 2.17-2.24
O (0.1148, 0.5956, 0.9217)  2 U 2.17-2.24
O (0.1739, 0.1931, 0.5783)  2 U 2.17-2.24
O (0.1739, 0.4808, 0.5956)  2 U 2.17-2.24
O (0.1931, 0.1148, 0.0192)  2 U 2.17-2.24
O (0.1931, 0.5783, 0.1739)  2 U 2.17-2.24
O (0.3069, 0.3261, 0.9217)  2 U 2.17-2.24
O (0.3069, 0.4808, 0.3852)  2 U 2.17-2.24
O (0.3261, 0.9044, 0.0192)  2 U 2.17-2.24
O (0.3261, 0.9217, 0.3069)  2 U 2.17-2.24
O (0.3852, 0.3069, 0.4808)  2 U 2.17-2.24
O (0.3852, 0.5783, 0.9044)  2 U 2.17-2.24
O (0.4044, 0.0783, 0.8852)  2 U 2.17-2.24
O (0.4044, 0.8261, 0.5192)  2 U 2.17-2.24
O (0.4217, 0.0956, 0.6148)  2 U 2.17-2.24
O (0.4217, 0.8261, 0.8069)  2 U 2.17-2.24
O (0.4808, 0.3852, 0.3069)  2 U 2.17-2.24
O (0.4808, 0.5956, 0.1739)  2 U 2.17-2.24
O (0.5192, 0.4044, 0.8261)  2 U 2.17-2.24
O (0.5192, 0.6148, 0.6931)  2 U 2.17-2.24
O (0.5783, 0.1739, 0.1931)  2 U 2.17-2.24
O (0.5783, 0.9044, 0.3852)  2 U 2.17-2.24
O (0.5956, 0.1739, 0.4808)  2 U 2.17-2.24
O (0.5956, 0.9217, 0.1148)  2 U 2.17-2.24
O (0.6148, 0.4217, 0.0956)  2 U 2.17-2.24
O (0.6148, 0.6931, 0.5192)  2 U 2.17-2.24
O (0.6739, 0.0783, 0.6931)  2 U 2.17-2.24
O (0.6739, 0.0956, 0.9808)  2 U 2.17-2.24
O (0.6931, 0.5192, 0.6148)  2 U 2.17-2.24
O (0.6931, 0.6739, 0.0783)  2 U 2.17-2.24
O (0.8069, 0.4217, 0.8261)  2 U 2.17-2.24
O (0.8069, 0.8852, 0.9808)  2 U 2.17-2.24
O (0.8261, 0.5192, 0.4044)  2 U 2.17-2.24
O (0.8261, 0.8069, 0.4217)  2 U 2.17-2.24
O (0.8852, 0.4044, 0.0783)  2 U 2.17-2.24
O (0.8852, 0.9808, 0.8069)  2 U 2.17-2.24
O (0.9044, 0.0192, 0.3261)  2 U 2.17-2.24
O (0.9044, 0.3852, 0.5783)  2 U 2.17-2.24
O (0.9217, 0.1148, 0.5956)  2 U 2.17-2.24
O (0.9217, 0.3069, 0.3261)  2 U 2.17-2.24
O (0.9808, 0.6739, 0.0956)  2 U 2.17-2.24
O (0.9808, 0.8069, 0.8852)  2 U 2.17-2.24